Material: LaCu2W
Method: DFT, PBEsol
State: relaxed

The total DFT energy (no corrections) is -6.087 eV per atom. The value obtained for the volume is 273.9 Å³ per cell. The energy above the most stable polymorph in this dataset comes out at 275 meV per atom. For the formation energy, the calculation gives 0.868 eV per atom.

The space group is F-43m (No. 216) and the conventional cell measures 6.494, 6.494 and 6.494 Å, with angles of 90.00, 90.00 and 90.00 degrees. The distinct sites, in fractional coordinates, are La at (0.000, 0.000, 0.000), Cu at (0.000, 0.000, 0.500), Cu at (0.250, 0.250, 0.250) and W at (0.250, 0.250, 0.750).